# 1
## AlTl2Cr (SCAN)

Data for a crystal of AlTl2Cr relaxed with PBEsol.

```
data_AlTl2Cr
_chemical_formula_sum 'Al2 Tl4 Cr2'
_cell_length_a 4.4740
_cell_length_b 4.4740
_cell_length_c 8.3543
_cell_angle_alpha 90.00
_cell_angle_beta 90.00
_cell_angle_gamma 90.00
_space_group_name_H-M_alt 'I 4/m m m'
_space_group_IT_number 139
_space_group_name_Hall '-I 4 2'
loop_
_atom_site_label
_atom_site_type_symbol
_atom_site_fract_x
_atom_site_fract_y
_atom_site_fract_z
_atom_site_occupancy
Al1 Al 0.0000 0.0000 0.0000 1
Tl1 Tl 0.0000 0.5000 0.2500 1
Cr1 Cr 0.0000 0.0000 0.5000 1
```

**Energy of formation**: 0.33 eV per atom
**Polymorph energy (0 for the lowest one)**: 45 meV/atom

---

# 2
## LaTi3N (SCAN)

Data for a crystal of LaTi3N relaxed with PBEsol.

```
data_LaTi3N
_chemical_formula_sum 'La1 Ti3 N1'
_cell_length_a 4.2873
_cell_length_b 4.2873
_cell_length_c 4.2873
_cell_angle_alpha 90.00
_cell_angle_beta 90.00
_cell_angle_gamma 90.00
_space_group_name_H-M_alt 'P m -3 m'
_space_group_IT_number 221
_space_group_name_Hall '-P 4 2 3'
loop_
_atom_site_label
_atom_site_type_symbol
_atom_site_fract_x
_atom_site_fract_y
_atom_site_fract_z
_atom_site_occupancy
La1 La 0.0000 0.0000 0.0000 1
Ti1 Ti 0.0000 0.5000 0.5000 1
N1 N 0.5000 0.5000 0.5000 1
```

**Raw formation energy**: -0.40 eV/atom

---

no.,total DFT energy (no corrections) (eV/atom)
1,-42.38
2,-20.50